VASP calculation (PBE) on a relaxed structure of CsTmMg.

abc: 5.7927 5.7927 5.7927
angles: 60.00 60.00 60.00
Positions (direct):
Cs (0.0000, 0.0000, 0.0000)
Tm (0.7500, 0.7500, 0.7500)
Mg (0.2500, 0.2500, 0.2500)

Calculated values
The calculation puts the raw total energy at -1.137 eV per atom. The mass density is 3.9 g cm⁻³. Its spin magnetization is 0.0 Bohr magnetons per cell. As for the space group: No. 216.

=====

VASP calculation (PBE) on a relaxed structure of TaNiPt2.

abc: 4.4704 5.4731 4.8384
angles: 90.00 90.00 90.00
Positions (direct):
Ta (0.2500, 0.2500, 0.1537)
Ta (0.7500, 0.7500, 0.8463)
Ni (0.2500, 0.7500, 0.1660)
Ni (0.7500, 0.2500, 0.8340)
Pt (0.2500, 0.0009, 0.6746)
Pt (0.2500, 0.4991, 0.6746)
Pt (0.7500, 0.5009, 0.3254)
Pt (0.7500, 0.9991, 0.3254)

Calculated values
The calculation puts the formation energy at -678 meV/atom. The calculation puts the raw total energy at -8.061 eV per atom. The mass density is 17.7 g cm⁻³. Its spin magnetization is 0.0 Bohr magnetons per cell. As for the space group: No. 59.

=====

VASP calculation (PBE) on a relaxed structure of GdDyCd6.

abc: 6.5978 6.5978 4.9864
angles: 90.00 90.00 120.00
Positions (direct):
Gd (0.0000, 0.0000, 0.0000)
Dy (0.6667, 0.3333, 0.5000)
Cd (0.0077, 0.5038, 0.0000)
Cd (0.1715, 0.3430, 0.5000)
Cd (0.1715, 0.8285, 0.5000)
Cd (0.4962, 0.5038, 0.0000)
Cd (0.4962, 0.9923, 0.0000)
Cd (0.6570, 0.8285, 0.5000)

Calculated values
The calculation puts the formation energy at -299 meV/atom. The calculation puts the energy relative to the lowest polymorph listed for this composition at 0 meV/atom. The calculation puts the raw total energy at -2.128 eV per atom. The mass density is 8.8 g cm⁻³. Its spin magnetization is 0.0 Bohr magnetons per cell. As for the space group: No. 187.

=====

VASP calculation (PBE) on a relaxed structure of BeZnCuW.

abc: 4.1546 4.1546 4.1546
angles: 60.00 60.00 60.00
Positions (direct):
Be (0.0000, 0.0000, 0.0000)
Zn (0.5000, 0.5000, 0.5000)
Cu (0.7500, 0.7500, 0.7500)
W (0.2500, 0.2500, 0.2500)

Calculated values
The calculation puts the energy relative to the lowest polymorph listed for this composition at 13 meV/atom. The calculation puts the raw total energy at -4.943 eV per atom. The mass density is 10.5 g cm⁻³. Its spin magnetization is 0.0 Bohr magnetons per cell. As for the space group: No. 216.

=====

VASP calculation (PBE) on a relaxed structure of CsRbDy2As2.

abc: 5.0506 5.0506 8.5674
angles: 90.00 90.00 90.00
Positions (direct):
Cs (0.0000, 0.0000, 0.0000)
Rb (0.5000, 0.5000, 0.7441)
Dy (0.0000, 0.5000, 0.3780)
Dy (0.5000, 0.0000, 0.3780)
As (0.0000, 0.0000, 0.5430)
As (0.5000, 0.5000, 0.2068)

Calculated values
The calculation puts the raw total energy at -4.097 eV per atom. The mass density is 5.3 g cm⁻³. Its spin magnetization is 0.0 Bohr magnetons per cell. As for the space group: No. 99.

=====

VASP calculation (PBE) on a relaxed structure of LuTlZnS3.

abc: 11.2437 4.0102 11.9375
angles: 90.00 90.00 90.00
Positions (direct):
Lu (0.0272, 0.2500, 0.1668)
Lu (0.4728, 0.7500, 0.6668)
Lu (0.5272, 0.2500, 0.3332)
Lu (0.9728, 0.7500, 0.8332)
Tl (0.1608, 0.2500, 0.5082)
Tl (0.3392, 0.7500, 0.0082)
Tl (0.6608, 0.2500, 0.9918)
Tl (0.8392, 0.7500, 0.4918)
Zn (0.2492, 0.2500, 0.8003)
Zn (0.2508, 0.7500, 0.3003)
Zn (0.7492, 0.2500, 0.6997)
Zn (0.7508, 0.7500, 0.1997)
S (0.0432, 0.7500, 0.3188)
S (0.0991, 0.2500, 0.9370)
S (0.2296, 0.7500, 0.6940)
S (0.2704, 0.2500, 0.1940)
S (0.4009, 0.7500, 0.4370)
S (0.4568, 0.2500, 0.8188)
S (0.5432, 0.7500, 0.1812)
S (0.5991, 0.2500, 0.5630)
S (0.7296, 0.7500, 0.8060)
S (0.7704, 0.2500, 0.3060)
S (0.9009, 0.7500, 0.0630)
S (0.9568, 0.2500, 0.6812)

Calculated values
The calculation puts the energy relative to the lowest polymorph listed for this composition at 82 meV/atom. The calculation puts the raw total energy at -4.561 eV per atom. The mass density is 6.7 g cm⁻³. Its spin magnetization is 0.0 Bohr magnetons per cell. As for the space group: No. 62.

=====

VASP calculation (PBE) on a relaxed structure of Na2MgZnSn2Ir2.

abc: 4.6378 4.6378 6.5766
angles: 90.00 90.00 90.00
Positions (direct):
Na (0.0000, 0.5000, 0.2434)
Na (0.5000, 0.0000, 0.7566)
Mg (0.0000, 0.0000, 0.5000)
Zn (0.5000, 0.5000, 0.0000)
Sn (0.0000, 0.0000, 0.0000)
Sn (0.5000, 0.5000, 0.5000)
Ir (0.0000, 0.5000, 0.7562)
Ir (0.5000, 0.0000, 0.2438)

Calculated values
The calculation puts the raw total energy at -4.025 eV per atom. The mass density is 8.9 g cm⁻³. Its spin magnetization is 0.0 Bohr magnetons per cell. As for the space group: No. 115.

=====

VASP calculation (PBE) on a relaxed structure of Dy2CuTe3.

abc: 7.3875 7.3875 11.1550
angles: 90.00 90.00 147.52
Positions (direct):
Dy (0.0000, 0.0000, 0.0000)
Dy (0.0000, 0.0000, 0.5000)
Dy (0.2286, 0.7714, 0.7500)
Dy (0.7714, 0.2286, 0.2500)
Cu (0.4709, 0.5291, 0.2500)
Cu (0.5291, 0.4709, 0.7500)
Te (0.0965, 0.9035, 0.2500)
Te (0.3504, 0.6496, 0.0699)
Te (0.3504, 0.6496, 0.4301)
Te (0.6496, 0.3504, 0.5699)
Te (0.6496, 0.3504, 0.9301)
Te (0.9035, 0.0965, 0.7500)

Calculated values
The calculation puts the raw total energy at -4.724 eV per atom. The mass density is 7.8 g cm⁻³. Its spin magnetization is 0.0 Bohr magnetons per cell. As for the space group: No. 63.

=====

VASP calculation (PBE) on a relaxed structure of HoInCoS3.

abc: 7.1661 7.1661 10.2776
angles: 90.00 90.00 149.06
Positions (direct):
Ho (0.0000, 0.0000, 0.0000)
Ho (0.0000, 0.0000, 0.5000)
In (0.2473, 0.7527, 0.7500)
In (0.7527, 0.2473, 0.2500)
Co (0.4758, 0.5242, 0.2500)
Co (0.5242, 0.4758, 0.7500)
S (0.0669, 0.9331, 0.2500)
S (0.3740, 0.6260, 0.0774)
S (0.3740, 0.6260, 0.4226)
S (0.6260, 0.3740, 0.5774)
S (0.6260, 0.3740, 0.9226)
S (0.9331, 0.0669, 0.7500)

Calculated values
The calculation puts the raw total energy at -5.418 eV per atom. The mass density is 5.3 g cm⁻³. Its spin magnetization is 5.0 Bohr magnetons per cell. As for the space group: No. 63.

=====

VASP calculation (PBE) on a relaxed structure of HfZr2Pd.

abc: 4.8229 4.8229 4.8229
angles: 60.00 60.00 60.00
Positions (direct):
Hf (0.0000, 0.0000, 0.0000)
Zr (0.2500, 0.2500, 0.2500)
Zr (0.5000, 0.5000, 0.5000)
Pd (0.7500, 0.7500, 0.7500)

Calculated values
The calculation puts the formation energy at -160 meV/atom. The calculation puts the raw total energy at -8.216 eV per atom. The mass density is 9.8 g cm⁻³. Its spin magnetization is 0.5 Bohr magnetons per cell. As for the space group: No. 216.

=====

VASP calculation (PBE) on a relaxed structure of RbHfMo.

abc: 4.8876 4.8876 4.8876
angles: 60.00 60.00 60.00
Positions (direct):
Rb (0.0000, 0.0000, 0.0000)
Hf (0.5000, 0.5000, 0.5000)
Mo (0.7500, 0.7500, 0.7500)

Calculated values
The calculation puts the energy relative to the lowest polymorph listed for this composition at 0 meV/atom. The calculation puts the raw total energy at -5.212 eV per atom. The mass density is 7.2 g cm⁻³. Its spin magnetization is 1.0 Bohr magnetons per cell. As for the space group: No. 216.

=====

VASP calculation (PBE) on a relaxed structure of LiTbHgS3.

abc: 12.2994 3.9235 11.2086
angles: 90.00 90.00 90.00
Positions (direct):
Li (0.1142, 0.2500, 0.0246)
Li (0.3858, 0.7500, 0.5246)
Li (0.6142, 0.2500, 0.4754)
Li (0.8858, 0.7500, 0.9754)
Tb (0.0555, 0.2500, 0.6756)
Tb (0.4445, 0.7500, 0.1756)
Tb (0.5555, 0.2500, 0.8244)
Tb (0.9445, 0.7500, 0.3244)
Hg (0.2327, 0.2500, 0.2952)
Hg (0.2673, 0.7500, 0.7952)
Hg (0.7327, 0.2500, 0.2048)
Hg (0.7673, 0.7500, 0.7048)
S (0.0651, 0.7500, 0.8569)
S (0.0711, 0.2500, 0.4211)
S (0.2286, 0.7500, 0.1365)
S (0.2714, 0.2500, 0.6365)
S (0.4289, 0.7500, 0.9211)
S (0.4349, 0.2500, 0.3569)
S (0.5651, 0.7500, 0.6431)
S (0.5711, 0.2500, 0.0789)
S (0.7286, 0.7500, 0.3635)
S (0.7714, 0.2500, 0.8635)
S (0.9289, 0.7500, 0.5789)
S (0.9349, 0.2500, 0.1431)

Calculated values
The calculation puts the raw total energy at -4.357 eV per atom. The mass density is 5.7 g cm⁻³. Its spin magnetization is 0.0 Bohr magnetons per cell. As for the space group: No. 62.

=====

VASP calculation (PBE) on a relaxed structure of RbMgPt.

abc: 5.0284 5.0284 5.0284
angles: 60.00 60.00 60.00
Positions (direct):
Rb (0.0000, 0.0000, 0.0000)
Mg (0.5000, 0.5000, 0.5000)
Pt (0.7500, 0.7500, 0.7500)

Calculated values
The calculation puts the energy relative to the lowest polymorph listed for this composition at 0 meV/atom. The calculation puts the raw total energy at -2.664 eV per atom. The mass density is 5.6 g cm⁻³. Its spin magnetization is 0.0 Bohr magnetons per cell. As for the space group: No. 216.

=====

VASP calculation (PBE) on a relaxed structure of ZrTl2InCl6.

abc: 7.7851 7.7851 7.7851
angles: 60.00 60.00 60.00
Positions (direct):
Zr (0.0000, 0.0000, 0.0000)
Tl (0.2500, 0.2500, 0.2500)
Tl (0.7500, 0.7500, 0.7500)
In (0.5000, 0.5000, 0.5000)
Cl (0.2292, 0.2292, 0.7708)
Cl (0.2292, 0.7708, 0.2292)
Cl (0.2292, 0.7708, 0.7708)
Cl (0.7708, 0.2292, 0.2292)
Cl (0.7708, 0.2292, 0.7708)
Cl (0.7708, 0.7708, 0.2292)

Calculated values
The calculation puts the raw total energy at -3.885 eV per atom. The mass density is 4.1 g cm⁻³. Its spin magnetization is 1.0 Bohr magnetons per cell. As for the space group: No. 225.

=====

VASP calculation (PBE) on a relaxed structure of KBeBiPd.

abc: 4.9755 4.9755 4.9755
angles: 60.00 60.00 60.00
Positions (direct):
K (0.0000, 0.0000, 0.0000)
Be (0.2500, 0.2500, 0.2500)
Bi (0.5000, 0.5000, 0.5000)
Pd (0.7500, 0.7500, 0.7500)

Calculated values
The calculation puts the energy relative to the lowest polymorph listed for this composition at 0 meV/atom. The calculation puts the raw total energy at -3.134 eV per atom. The mass density is 6.9 g cm⁻³. As for the space group: No. 216.

=====

VASP calculation (PBE) on a relaxed structure of BaHg2P2.

abc: 6.9957 6.9957 6.9957
angles: 141.44 141.44 55.67
Positions (direct):
Ba (0.0000, 0.0000, 0.0000)
Hg (0.2500, 0.7500, 0.5000)
Hg (0.7500, 0.2500, 0.5000)
P (0.4145, 0.4145, 0.0000)
P (0.5855, 0.5855, 0.0000)

Calculated values
The calculation puts the raw total energy at -3.017 eV per atom. The mass density is 7.6 g cm⁻³. As for the space group: No. 139.

=====

VASP calculation (PBE) on a relaxed structure of Y4Nb2P3C3.

abc: 6.1384 6.1384 13.1618
angles: 103.91 103.91 60.43
Positions (direct):
Y (0.0434, 0.2009, 0.1118)
Y (0.1223, 0.2957, 0.3880)
Y (0.2009, 0.0434, 0.6118)
Y (0.2957, 0.1223, 0.8880)
Y (0.7043, 0.8777, 0.1120)
Y (0.7991, 0.9566, 0.3882)
Y (0.8777, 0.7043, 0.6120)
Y (0.9566, 0.7991, 0.8882)
Nb (0.3614, 0.5308, 0.0903)
Nb (0.4692, 0.6386, 0.4097)
Nb (0.5308, 0.3614, 0.5903)
Nb (0.6386, 0.4692, 0.9097)
P (0.1231, 0.8769, 0.2500)
P (0.2888, 0.4168, 0.7519)
P (0.4168, 0.2888, 0.2519)
P (0.5832, 0.7112, 0.7481)
P (0.7112, 0.5832, 0.2481)
P (0.8769, 0.1231, 0.7500)
C (0.0000, 0.5000, 0.0000)
C (0.2120, 0.6443, 0.4998)
C (0.3557, 0.7880, 0.0002)
C (0.5000, 0.0000, 0.5000)
C (0.6443, 0.2120, 0.9998)
C (0.7880, 0.3557, 0.5002)

Calculated values
The calculation puts the raw total energy at -8.241 eV per atom. The mass density is 5.4 g cm⁻³. Its spin magnetization is 0.0 Bohr magnetons per cell. As for the space group: No. 15.

=====

VASP calculation (PBE) on a relaxed structure of ZrBeInFe.

abc: 4.5304 4.5304 4.5304
angles: 60.00 60.00 60.00
Positions (direct):
Zr (0.0000, 0.0000, 0.0000)
Be (0.7500, 0.7500, 0.7500)
In (0.2500, 0.2500, 0.2500)
Fe (0.5000, 0.5000, 0.5000)

Calculated values
The calculation puts the energy relative to the lowest polymorph listed for this composition at 227 meV/atom. The calculation puts the raw total energy at -5.604 eV per atom. The mass density is 6.8 g cm⁻³. Its spin magnetization is 2.0 Bohr magnetons per cell. As for the space group: No. 216.

=====

VASP calculation (PBE) on a relaxed structure of Al2Cd3Si3O12.

abc: 10.2408 10.2408 10.2408
angles: 109.47 109.47 109.47
Positions (direct):
Al (0.0000, 0.0000, 0.0000)
Al (0.0000, 0.0000, 0.5000)
Al (0.0000, 0.5000, 0.0000)
Al (0.0000, 0.5000, 0.5000)
Al (0.5000, 0.0000, 0.0000)
Al (0.5000, 0.0000, 0.5000)
Al (0.5000, 0.5000, 0.0000)
Al (0.5000, 0.5000, 0.5000)
Cd (0.1250, 0.2500, 0.3750)
Cd (0.1250, 0.3750, 0.7500)
Cd (0.2500, 0.3750, 0.1250)
Cd (0.2500, 0.8750, 0.6250)
Cd (0.3750, 0.1250, 0.2500)
Cd (0.3750, 0.7500, 0.1250)
Cd (0.6250, 0.2500, 0.8750)
Cd (0.6250, 0.8750, 0.7500)
Cd (0.7500, 0.1250, 0.3750)
Cd (0.7500, 0.6250, 0.8750)
Cd (0.8750, 0.6250, 0.2500)
Cd (0.8750, 0.7500, 0.6250)
Si (0.1250, 0.7500, 0.8750)
Si (0.1250, 0.8750, 0.2500)
Si (0.2500, 0.1250, 0.8750)
Si (0.2500, 0.6250, 0.3750)
Si (0.3750, 0.2500, 0.6250)
Si (0.3750, 0.6250, 0.7500)
Si (0.6250, 0.3750, 0.2500)
Si (0.6250, 0.7500, 0.3750)
Si (0.7500, 0.3750, 0.6250)
Si (0.7500, 0.8750, 0.1250)
Si (0.8750, 0.1250, 0.7500)
Si (0.8750, 0.2500, 0.1250)
O (0.0075, 0.1959, 0.1125)
O (0.0075, 0.3115, 0.8950)
O (0.0835, 0.6959, 0.6885)
O (0.0835, 0.8875, 0.3950)
O (0.1050, 0.6125, 0.4165)
O (0.1050, 0.9925, 0.6885)
O (0.1125, 0.0075, 0.1959)
O (0.1125, 0.6050, 0.9165)
O (0.1885, 0.1959, 0.5835)
O (0.1885, 0.4925, 0.6050)
O (0.1959, 0.1125, 0.0075)
O (0.1959, 0.5835, 0.1885)
O (0.3041, 0.3115, 0.9165)
O (0.3041, 0.4925, 0.3875)
O (0.3115, 0.8950, 0.0075)
O (0.3115, 0.9165, 0.3041)
O (0.3875, 0.3041, 0.4925)
O (0.3875, 0.5835, 0.8950)
O (0.3950, 0.0835, 0.8875)
O (0.3950, 0.8115, 0.5075)
O (0.4165, 0.1050, 0.6125)
O (0.4165, 0.8115, 0.8041)
O (0.4925, 0.3875, 0.3041)
O (0.4925, 0.6050, 0.1885)
O (0.5075, 0.3950, 0.8115)
O (0.5075, 0.6125, 0.6959)
O (0.5835, 0.1885, 0.1959)
O (0.5835, 0.8950, 0.3875)
O (0.6050, 0.1885, 0.4925)
O (0.6050, 0.9165, 0.1125)
O (0.6125, 0.4165, 0.1050)
O (0.6125, 0.6959, 0.5075)
O (0.6885, 0.0835, 0.6959)
O (0.6885, 0.1050, 0.9925)
O (0.6959, 0.5075, 0.6125)
O (0.6959, 0.6885, 0.0835)
O (0.8041, 0.4165, 0.8115)
O (0.8041, 0.8875, 0.9925)
O (0.8115, 0.5075, 0.3950)
O (0.8115, 0.8041, 0.4165)
O (0.8875, 0.3950, 0.0835)
O (0.8875, 0.9925, 0.8041)
O (0.8950, 0.0075, 0.3115)
O (0.8950, 0.3875, 0.5835)
O (0.9165, 0.1125, 0.6050)
O (0.9165, 0.3041, 0.3115)
O (0.9925, 0.6885, 0.1050)
O (0.9925, 0.8041, 0.8875)

Calculated values
The calculation puts the raw total energy at -6.633 eV per atom. The mass density is 5.4 g cm⁻³. As for the space group: No. 230.

=====

VASP calculation (PBE) on a relaxed structure of YGa2Fe.

abc: 4.6534 4.6534 4.6534
angles: 60.00 60.00 60.00
Positions (direct):
Y (0.0000, 0.0000, 0.0000)
Ga (0.5000, 0.5000, 0.5000)
Ga (0.7500, 0.7500, 0.7500)
Fe (0.2500, 0.2500, 0.2500)

Calculated values
The calculation puts the raw total energy at -5.250 eV per atom. The mass density is 6.6 g cm⁻³. Its spin magnetization is 1.8 Bohr magnetons per cell. As for the space group: No. 216.